1.
Ca2ReOs after structural relaxation, computed with PBEsol.

energy relative to the elements = 0.80 eV/atom
crystal system = orthorhombic
raw total energy = -53.20 eV/cell

a b c (Å): 3.831 3.935 9.664
angles (deg): 90.00 90.00 90.00
Space group Cmmm (No. 65)
One atom of each set of equivalent atoms:
Ca  0.000  0.000  0.243 (multiplicity 4)
Re  0.000  0.500  0.500 (multiplicity 2)
Os  0.000  0.500  0.000 (multiplicity 2)

2.
CaRe2Os after structural relaxation, computed with PBEsol.

energy relative to the elements = 0.75 eV/atom
energy above the lowest structure with this stoichiometry = 175 meV per atom
crystal system = tetragonal
raw total energy = -38.02 eV/cell

a b c (Å): 3.193 3.193 7.129
angles (deg): 90.00 90.00 90.00
Space group P4/mmm (No. 123)
One atom of each set of equivalent atoms:
Ca  0.000  0.000  0.000 (multiplicity 1)
Re  0.500  0.500  0.317 (multiplicity 2)
Os  0.000  0.000  0.500 (multiplicity 1)

3.
CaRe2Os after structural relaxation, computed with PBEsol.

energy relative to the elements = 0.57 eV/atom
energy above the lowest structure with this stoichiometry = 0 meV per atom
crystal system = trigonal
raw total energy = -116.17 eV/cell

a b c (Å): 2.7859 2.7859 28.8909
angles (deg): 90.00 90.00 120.00
Space group R-3m (No. 166, hexagonal axes)
One atom of each set of equivalent atoms:
Ca  0.0000  0.0000  0.0000 (multiplicity 3)
Re  0.0000  0.0000  0.2413 (multiplicity 6)
Os  0.0000  0.0000  0.5000 (multiplicity 3)

4.
CaReOs2 after structural relaxation, computed with PBEsol.

energy relative to the elements = 0.72 eV/atom
energy above the lowest structure with this stoichiometry = 87 meV per atom
crystal system = monoclinic
raw total energy = -74.02 eV/cell

a b c (Å): 5.619 8.829 2.707
angles (deg): 90.00 111.18 90.00
Space group C2/m (No. 12)
One atom of each set of equivalent atoms:
Ca  0.000  0.000  0.000 (multiplicity 2)
Re  0.000  0.500  0.000 (multiplicity 2)
Os  0.250  0.250  0.500 (multiplicity 4)

5.
Ca2OsRh after structural relaxation, computed with PBEsol.

energy relative to the elements = 0.47 eV/atom
energy above the lowest structure with this stoichiometry = 0 meV per atom
crystal system = trigonal
raw total energy = -68.27 eV/cell

a b c (Å): 3.0679 3.0679 26.9416
angles (deg): 90.00 90.00 120.00
Space group R-3m (No. 166, hexagonal axes)
One atom of each set of equivalent atoms:
Ca  0.0000  0.0000  0.2486 (multiplicity 6)
Os  0.0000  0.0000  0.0000 (multiplicity 3)
Rh  0.0000  0.0000  0.5000 (multiplicity 3)

6.
CaOsRh2 after structural relaxation, computed with PBEsol.

energy relative to the elements = 0.19 eV/atom
energy above the lowest structure with this stoichiometry = 128 meV per atom
crystal system = orthorhombic
raw total energy = -59.74 eV/cell

a b c (Å): 2.768 4.536 10.131
angles (deg): 90.00 90.00 90.00
Space group Imm2 (No. 44)
One atom of each set of equivalent atoms:
Ca  0.000  0.000  0.000 (multiplicity 2)
Os  0.000  0.500  0.218 (multiplicity 2)
Rh  0.000  0.000  0.503 (multiplicity 2)
Rh  0.000  0.500  0.775 (multiplicity 2)